Record 1
VASP calculation (GGA-PBEsol) on crystalline Al2P3H12N3O12 at its relaxed geometry.

## Properties
E in eV per cell: -820.56
Fermi-level density of states in states/eV/atom: 0.00

CIF file:
```
data_Al2P3H12N3O12
_symmetry_space_group_name_H-M 'C 1 2/c 1'
_symmetry_Int_Tables_number 15
_cell_length_a 13.1827
_cell_length_b 10.1186
_cell_length_c 8.9579
_cell_angle_alpha 90.00
_cell_angle_beta 110.62
_cell_angle_gamma 90.00
loop_
_symmetry_equiv_pos_as_xyz
'x,y,z'
'-x,-y,-z'
'-x,y,-z+1/2'
'x,-y,z+1/2'
'x+1/2,y+1/2,z'
'-x+1/2,-y+1/2,-z'
'-x+1/2,y+1/2,-z+1/2'
'x+1/2,-y+1/2,z+1/2'
loop_
_atom_site_label
_atom_site_type_symbol
_atom_site_fract_x
_atom_site_fract_y
_atom_site_fract_z
_atom_site_occupancy
Al1 Al 0.1671 0.0760 0.0795 1
P1 P 0.0000 0.0081 0.2500 1
P2 P 0.2077 0.3782 0.1566 1
H1 H 0.0314 0.3277 0.4342 1
H2 H 0.0418 0.4638 0.6970 1
H3 H 0.0548 0.3402 0.8345 1
H4 H 0.1120 0.2421 0.3591 1
H5 H 0.1399 0.2333 0.5572 1
H6 H 0.1623 0.3797 0.4763 1
N1 N 0.0000 0.3986 0.7500 1
N2 N 0.1124 0.2960 0.4589 1
O1 O 0.0554 0.0834 0.8939 1
O2 O 0.0799 0.1001 0.2084 1
O3 O 0.0900 0.4051 0.1394 1
O4 O 0.2125 0.0805 0.6759 1
O5 O 0.2318 0.2296 0.1497 1
O6 O 0.2322 0.4560 0.0248 1
```

=====

Record 2
VASP calculation (GGA-PBEsol) on crystalline Al2Si3H8N2O10 at its relaxed geometry.

## Properties
Excess energy over the best structure of this formula in the dataset in meV per atom: 2
E in eV per cell: -1354.91
Fermi-level density of states in states/eV/atom: 0.00

CIF file:
```
data_Al2Si3H8N2O10
_symmetry_space_group_name_H-M 'F d d 2'
_symmetry_Int_Tables_number 43
_symmetry_space_group_name_Hall 'F 2 -2d'
_cell_length_a 18.1206
_cell_length_b 18.1745
_cell_length_c 6.5745
_cell_angle_alpha 90.00
_cell_angle_beta 90.00
_cell_angle_gamma 90.00
loop_
_atom_site_label
_atom_site_type_symbol
_atom_site_fract_x
_atom_site_fract_y
_atom_site_fract_z
_atom_site_occupancy
Al1 Al 0.0324 0.0969 0.0000 1
Si1 Si 0.0000 0.0000 0.3858 1
Si2 Si 0.0986 0.4655 0.2584 1
H1 H 0.0062 0.2518 0.4788 1
H2 H 0.0415 0.1679 0.4048 1
H3 H 0.0848 0.2171 0.5919 1
H4 H 0.0883 0.2478 0.3490 1
N1 N 0.0550 0.2204 0.4576 1
O1 O 0.0106 0.0748 0.2537 1
O2 O 0.0440 0.4019 0.3397 1
O3 O 0.0660 0.1875 0.9920 1
O4 O 0.0746 0.4915 0.0271 1
O5 O 0.0996 0.0347 0.9151 1
```

=====

Record 3
VASP calculation (GGA-PBEsol) on crystalline Al2Si3H8N2O10 at its relaxed geometry.

## Properties
Excess energy over the best structure of this formula in the dataset in meV per atom: 0
E in eV per cell: -677.66
Fermi-level density of states in states/eV/atom: 0.00

CIF file:
```
data_Al2Si3H8N2O10
_symmetry_space_group_name_H-M 'P 1 21 1'
_symmetry_Int_Tables_number 4
_cell_length_a 12.8227
_cell_length_b 6.5696
_cell_length_c 12.8481
_cell_angle_alpha 90.00
_cell_angle_beta 90.88
_cell_angle_gamma 90.00
loop_
_symmetry_equiv_pos_as_xyz
'x,y,z'
'-x,y+1/2,-z'
loop_
_atom_site_label
_atom_site_type_symbol
_atom_site_fract_x
_atom_site_fract_y
_atom_site_fract_z
_atom_site_occupancy
Al1 Al 0.1170 0.0000 0.3150 1
Al2 Al 0.1838 0.2488 0.8840 1
Al3 Al 0.3117 0.2472 0.6236 1
Al4 Al 0.3773 0.9998 0.1903 1
Si1 Si 0.1183 0.4871 0.6906 1
Si2 Si 0.1863 0.2412 0.1207 1
Si3 Si 0.2415 0.6156 0.2646 1
Si4 Si 0.2584 0.8632 0.7645 1
Si5 Si 0.3170 0.2431 0.3868 1
Si6 Si 0.3860 0.4916 0.8177 1
H1 H 0.0033 0.0298 0.5026 1
H2 H 0.0069 0.7753 0.0037 1
H3 H 0.0345 0.8938 0.6127 1
H4 H 0.0451 0.6021 0.3781 1
H5 H 0.0852 0.1326 0.5947 1
H6 H 0.0964 0.8857 0.0864 1
H7 H 0.1167 0.6453 0.0419 1
H8 H 0.1280 0.8461 0.9580 1
H9 H 0.3728 0.6516 0.4754 1
H10 H 0.3805 0.8367 0.5697 1
H11 H 0.4016 0.3456 0.0864 1
H12 H 0.4149 0.5964 0.5992 1
H13 H 0.4386 0.5851 0.1196 1
H14 H 0.4717 0.8921 0.8755 1
H15 H 0.4835 0.4757 0.0057 1
H16 H 0.4934 0.7329 0.5179 1
N1 N 0.0195 0.0378 0.5836 1
N2 N 0.0875 0.7868 0.0218 1
N3 N 0.4151 0.7067 0.5390 1
N4 N 0.4639 0.4521 0.0845 1
O1 O 0.0073 0.5396 0.6316 1
O2 O 0.0978 0.3790 0.8013 1
O3 O 0.1206 0.0710 0.1835 1
O4 O 0.1279 0.2725 0.0081 1
O5 O 0.1483 0.7389 0.3220 1
O6 O 0.1800 0.7047 0.7041 1
O7 O 0.1824 0.3342 0.6148 1
O8 O 0.1843 0.4618 0.1804 1
O9 O 0.1936 0.9877 0.8517 1
O10 O 0.2017 0.1458 0.3900 1
O11 O 0.3062 0.1652 0.1068 1
O12 O 0.3064 0.3599 0.8852 1
O13 O 0.3081 0.4876 0.3534 1
O14 O 0.3122 0.0028 0.6763 1
O15 O 0.3214 0.7586 0.2015 1
O16 O 0.3542 0.7369 0.8232 1
O17 O 0.3725 0.2429 0.5022 1
O18 O 0.3868 0.4220 0.6961 1
O19 O 0.3938 0.1258 0.3084 1
O20 O 0.4982 0.9749 0.1283 1
```

=====

Record 4
VASP calculation (GGA-PBEsol) on crystalline ZrAlH2N at its relaxed geometry.

## Properties
E in eV per cell: -29.32
Fermi-level density of states in states/eV/atom: 0.17

CIF file:
```
data_ZrAlH2N
_symmetry_space_group_name_H-M 'P 4/m m m'
_symmetry_Int_Tables_number 123
_symmetry_space_group_name_Hall '-P 4 2'
_cell_length_a 3.1750
_cell_length_b 3.1750
_cell_length_c 6.0857
_cell_angle_alpha 90.00
_cell_angle_beta 90.00
_cell_angle_gamma 90.00
loop_
_atom_site_label
_atom_site_type_symbol
_atom_site_fract_x
_atom_site_fract_y
_atom_site_fract_z
_atom_site_occupancy
Zr1 Zr 0.0000 0.0000 0.0000 1
Al1 Al 0.0000 0.0000 0.5000 1
H1 H 0.0000 0.5000 0.5000 1
N1 N 0.5000 0.5000 0.0000 1
```

=====

Record 5
VASP calculation (GGA-PBEsol) on crystalline Na3AlH6 at its relaxed geometry.

## Properties
E in eV per cell: -59.64
Fermi-level density of states in states/eV/atom: 0.00

CIF file:
```
data_Na3AlH6
_symmetry_space_group_name_H-M 'P 1 21/c 1'
_symmetry_Int_Tables_number 14
_cell_length_a 5.2663
_cell_length_b 5.4638
_cell_length_c 9.2198
_cell_angle_alpha 90.00
_cell_angle_beta 124.79
_cell_angle_gamma 90.00
loop_
_symmetry_equiv_pos_as_xyz
'x,y,z'
'-x,-y,-z'
'-x,y+1/2,-z+1/2'
'x,-y+1/2,z+1/2'
loop_
_atom_site_label
_atom_site_type_symbol
_atom_site_fract_x
_atom_site_fract_y
_atom_site_fract_z
_atom_site_occupancy
Na1 Na 0.0000 0.0000 0.0000 1
Na2 Na 0.2574 0.0464 0.7473 1
Al1 Al 0.5000 0.0000 0.5000 1
H1 H 0.1801 0.0484 0.2811 1
H2 H 0.2698 0.6714 0.0443 1
H3 H 0.4009 0.2307 0.0640 1
```

=====

Record 6
VASP calculation (GGA-PBEsol) on crystalline Na5Al3H14 at its relaxed geometry.

## Properties
E in eV per cell: -137.62
Fermi-level density of states in states/eV/atom: 0.00

CIF file:
```
data_Na5Al3H14
_symmetry_space_group_name_H-M 'P 4/m n c'
_symmetry_Int_Tables_number 128
_symmetry_space_group_name_Hall '-P 4 2n'
_cell_length_a 6.5435
_cell_length_b 6.5435
_cell_length_c 10.2298
_cell_angle_alpha 90.00
_cell_angle_beta 90.00
_cell_angle_gamma 90.00
loop_
_atom_site_label
_atom_site_type_symbol
_atom_site_fract_x
_atom_site_fract_y
_atom_site_fract_z
_atom_site_occupancy
Na1 Na 0.0000 0.0000 0.0000 1
Na2 Na 0.2035 0.2965 0.2500 1
Al1 Al 0.0000 0.0000 0.5000 1
Al2 Al 0.0000 0.5000 0.0000 1
H1 H 0.0000 0.0000 0.3281 1
H2 H 0.0568 0.6806 0.1183 1
H3 H 0.0957 0.2480 0.5000 1
```

=====

Question: What is the E in the third record?
Answer: -677.66 eV per cell

=====

Question: Among the records above, which one has the highest Fermi-level density of states?
Answer: ZrAlH2N

=====

Question: Number 6 is which compound?
Answer: Na5Al3H14